# Na4Sc3MoO8 (PBE with a Hubbard U, relaxed)
# * electronic total energy: -7.001 eV per atom
data_Na4Sc3MoO8
_chemical_formula_sum 'Na12 Sc9 Mo3 O24'
_symmetry_space_group_name_H-M 'R -3 m'
_symmetry_Int_Tables_number 166
_symmetry_space_group_name_Hall '-R 3 2"'
_cell_length_a 6.3876
_cell_length_b 6.3876
_cell_length_c 16.4512
_cell_angle_alpha 90.00
_cell_angle_beta 90.00
_cell_angle_gamma 120.00
loop_
_atom_site_label
_atom_site_fract_x
_atom_site_fract_y
_atom_site_fract_z
Na1 0.0000 0.0000 0.0000
Na2 0.0000 0.5000 0.0000
Sc1 0.0000 0.5000 0.5000
Mo1 0.0000 0.0000 0.5000
O1 0.0000 0.0000 0.2343
O2 0.0059 0.5030 0.7645